Material: La12Tl3O5
Method: DFT, PBE
State: relaxed

Geometry as CIF:
```
data_La12Tl3O5
_chemical_formula_sum 'La96 Tl24 O40'
_cell_length_a 16.581
_cell_length_b 16.581
_cell_length_c 16.581
_cell_angle_alpha 90.00
_cell_angle_beta 90.00
_cell_angle_gamma 90.00
_space_group_name_H-M_alt 'I a -3 d'
_space_group_IT_number 230
_space_group_name_Hall '-I 4bd 2c 3'
loop_
_atom_site_label
_atom_site_type_symbol
_atom_site_fract_x
_atom_site_fract_y
_atom_site_fract_z
La1 La 0.040 0.049 0.647
Tl1 Tl 0.000 0.250 0.125
O1 O 0.000 0.000 0.000
O2 O 0.000 0.250 0.375
```

Summary:
Electronic total energy   -6.051 eV/atom
Formation energy without anion corrections   -1500 meV per atom

---

Material: BaTaPb2
Method: DFT, PBE
State: relaxed

Geometry as CIF:
```
data_BaTaPb2
_chemical_formula_sum 'Ba2 Ta2 Pb4'
_cell_length_a 4.954
_cell_length_b 4.965
_cell_length_c 9.123
_cell_angle_alpha 90.00
_cell_angle_beta 90.00
_cell_angle_gamma 90.00
_space_group_name_H-M_alt 'C m m m'
_space_group_IT_number 65
_space_group_name_Hall '-C 2 2'
loop_
_atom_site_label
_atom_site_type_symbol
_atom_site_fract_x
_atom_site_fract_y
_atom_site_fract_z
Ba1 Ba 0.000 0.000 0.000
Ta1 Ta 0.000 0.000 0.500
Pb1 Pb 0.000 0.500 0.295
```

Summary:
Electronic total energy   -5.057 eV/atom